1.
VASP calculation (PBE) on a relaxed Ac2TiAs4Rh3 crystal.

Cell lengths 4.387, 4.387, 10.484 Å; angles 90.00, 90.00, 90.00 degrees
Element x y z (fractional)
1 Ac 0.500 0.000 0.236
2 Ac 0.000 0.500 0.764
3 Ti 0.500 0.500 0.500
4 As 0.500 0.500 0.000
5 As 0.000 0.000 0.000
6 As 0.500 0.000 0.636
7 As 0.000 0.500 0.364
8 Rh 0.000 0.000 0.500
9 Rh 0.500 0.000 0.884
10 Rh 0.000 0.500 0.116

Electronic total energy = -6.6309 eV/atom

***

2.
VASP calculation (PBE) on a relaxed NaTiSeO6 crystal.

Cell lengths 5.091, 5.091, 10.216 Å; angles 90.00, 90.00, 120.00 degrees
Element x y z (fractional)
1 Na 0.000 0.000 0.000
2 Na 0.000 0.000 0.500
3 Ti 0.667 0.333 0.250
4 Ti 0.333 0.667 0.750
5 Se 0.333 0.667 0.250
6 Se 0.667 0.333 0.750
7 O 0.611 0.634 0.150
8 O 0.024 0.389 0.150
9 O 0.389 0.024 0.650
10 O 0.976 0.611 0.850
11 O 0.366 0.389 0.350
12 O 0.024 0.634 0.350
13 O 0.634 0.024 0.850
14 O 0.611 0.976 0.350
15 O 0.976 0.366 0.650
16 O 0.366 0.976 0.150
17 O 0.634 0.611 0.650
18 O 0.389 0.366 0.850

Energy relative to the elements, uncorrected = -1443 meV per atom

***

3.
VASP calculation (PBE) on a relaxed PmPr2Al6 crystal.

Cell lengths 3.801, 7.954, 7.954 Å; angles 120.00, 90.00, 90.00 degrees
Element x y z (fractional)
1 Pm 0.000 0.000 0.000
2 Pr 0.000 0.333 0.667
3 Pr 0.000 0.667 0.333
4 Al 0.500 0.332 0.332
5 Al 0.500 0.668 0.668
6 Al 0.500 0.000 0.668
7 Al 0.500 0.668 0.000
8 Al 0.500 0.332 0.000
9 Al 0.500 0.000 0.332

Electronic total energy = -4.5572 eV/atom

***

4.
VASP calculation (PBE) on a relaxed LiNdEr2S4 crystal.

Cell lengths 3.898, 6.782, 6.807 Å; angles 109.20, 90.00, 90.00 degrees
Element x y z (fractional)
1 Li 0.500 0.500 0.000
2 Nd 0.000 0.000 0.000
3 Er 0.500 0.000 0.500
4 Er 0.000 0.500 0.500
5 S 0.500 0.263 0.260
6 S 0.500 0.737 0.740
7 S 0.000 0.255 0.744
8 S 0.000 0.745 0.256

Energy relative to the elements, uncorrected = -1920 meV per atom

***

Results for volume: 20.2; 12.7; 23.1; 21.2 (in A^3/atom, following the order of the records).